# 1
# Ca2ScMo | Alexandria via LeMat-Bulk | PBE-GGA | optimized geometry
# * E above lowest polymorph: 172.4 meV/atom
# * density of states at the Fermi level: 5.26 states/eV/cell
# * magnetic moment: 0.00 μB per formula unit
data_Ca2ScMo
_cell_length_a 9.518
_cell_length_b 3.153
_cell_length_c 7.171
_cell_angle_alpha 90.00
_cell_angle_beta 93.82
_cell_angle_gamma 90.00
_symmetry_space_group_name_H-M 'C 1 m 1'
_symmetry_Int_Tables_number 8
loop_
_symmetry_equiv_pos_as_xyz
'x,y,z'
'x,-y,z'
'x+1/2,y+1/2,z'
'x+1/2,-y+1/2,z'
loop_
_atom_site_label
_atom_site_fract_x
_atom_site_fract_y
_atom_site_fract_z
Ca1 0.000 0.000 0.000
Ca2 0.235 0.000 0.661
Sc1 0.254 0.500 0.264
Mo1 0.489 0.000 0.396

=====

# 2
# BiRhI2N | Alexandria via LeMat-Bulk | PBE-GGA | optimized geometry
# * E above lowest polymorph: 0.0 meV/atom
# * density of states at the Fermi level: 4.66 states/eV/cell
# * magnetic moment: 0.00 μB per formula unit
data_BiRhI2N
_cell_length_a 5.816
_cell_length_b 5.816
_cell_length_c 3.720
_cell_angle_alpha 90.00
_cell_angle_beta 90.00
_cell_angle_gamma 90.00
_symmetry_space_group_name_H-M 'P 4/m m m'
_symmetry_Int_Tables_number 123
_symmetry_space_group_name_Hall '-P 4 2'
loop_
_atom_site_label
_atom_site_fract_x
_atom_site_fract_y
_atom_site_fract_z
Bi1 0.000 0.000 0.000
Rh1 0.500 0.500 0.500
I1 0.000 0.500 0.500
N1 0.500 0.500 0.000

=====

# 3
# Ca2TaAu | Alexandria via LeMat-Bulk | PBE-GGA | optimized geometry
# * E above lowest polymorph: 331.8 meV/atom
# * density of states at the Fermi level: 7.98 states/eV/cell
# * magnetic moment: 3.27 μB per formula unit
data_Ca2TaAu
_cell_length_a 4.483
_cell_length_b 4.483
_cell_length_c 9.787
_cell_angle_alpha 90.00
_cell_angle_beta 90.00
_cell_angle_gamma 90.00
_symmetry_space_group_name_H-M 'I -4 m 2'
_symmetry_Int_Tables_number 119
_symmetry_space_group_name_Hall 'I -4 -2'
loop_
_atom_site_label
_atom_site_fract_x
_atom_site_fract_y
_atom_site_fract_z
Ca1 0.000 0.000 0.000
Ca2 0.000 0.500 0.250
Ta1 0.000 0.500 0.750
Au1 0.000 0.000 0.500

=====

# 4
# W2Au | Alexandria via LeMat-Bulk | PBE-GGA | optimized geometry
# * E above lowest polymorph: 143.5 meV/atom
# * density of states at the Fermi level: 3.82 states/eV/cell
# * magnetic moment: 0.00 μB per formula unit
data_W2Au
_cell_length_a 4.5501
_cell_length_b 4.5501
_cell_length_c 5.5343
_cell_angle_alpha 90.00
_cell_angle_beta 90.00
_cell_angle_gamma 120.00
_symmetry_space_group_name_H-M 'P 63/m m c'
_symmetry_Int_Tables_number 194
_symmetry_space_group_name_Hall '-P 6c 2c'
loop_
_atom_site_label
_atom_site_fract_x
_atom_site_fract_y
_atom_site_fract_z
W1 0.0000 0.0000 0.0000
W2 0.3333 0.6667 0.2500
Au1 0.3333 0.6667 0.7500

=====

# 5
# PuTaRh2 | Alexandria via LeMat-Bulk | PBE-GGA | optimized geometry
# * E above lowest polymorph: 95.0 meV/atom
# * density of states at the Fermi level: 9.27 states/eV/cell
# * magnetic moment: 4.75 μB per formula unit
data_PuTaRh2
_cell_length_a 4.951
_cell_length_b 4.951
_cell_length_c 2.908
_cell_angle_alpha 90.00
_cell_angle_beta 90.00
_cell_angle_gamma 90.00
_symmetry_space_group_name_H-M 'P 4/m m m'
_symmetry_Int_Tables_number 123
_symmetry_space_group_name_Hall '-P 4 2'
loop_
_atom_site_label
_atom_site_fract_x
_atom_site_fract_y
_atom_site_fract_z
Pu1 0.000 0.000 0.000
Ta1 0.500 0.500 0.000
Rh1 0.000 0.500 0.500

=====

# 6
# Tl4ZnHg4 | Alexandria via LeMat-Bulk | PBE-GGA | optimized geometry
# * DFT total energy: -23.0 eV per cell
# * density of states at the Fermi level: 6.59 states/eV/cell
# * magnetic moment: 0.00 μB per formula unit
data_Tl4ZnHg4
_cell_length_a 6.489
_cell_length_b 6.489
_cell_length_c 12.976
_cell_angle_alpha 90.00
_cell_angle_beta 90.00
_cell_angle_gamma 90.00
_symmetry_space_group_name_H-M 'I -4 2 m'
_symmetry_Int_Tables_number 121
_symmetry_space_group_name_Hall 'I -4 2'
loop_
_atom_site_label
_atom_site_fract_x
_atom_site_fract_y
_atom_site_fract_z
Tl1 0.230 0.230 0.138
Zn1 0.000 0.000 0.500
Hg1 0.248 0.248 0.378

=====

# 7
# SrSc2Nb | Alexandria via LeMat-Bulk | PBE-GGA | optimized geometry
# * E above lowest polymorph: 0.0 meV/atom
# * density of states at the Fermi level: 22.93 states/eV/cell
# * magnetic moment: 1.23 μB per formula unit
data_SrSc2Nb
_cell_length_a 7.402
_cell_length_b 7.402
_cell_length_c 7.402
_cell_angle_alpha 90.00
_cell_angle_beta 90.00
_cell_angle_gamma 90.00
_symmetry_space_group_name_H-M 'F m -3 m'
_symmetry_Int_Tables_number 225
_symmetry_space_group_name_Hall '-F 4 2 3'
loop_
_atom_site_label
_atom_site_fract_x
_atom_site_fract_y
_atom_site_fract_z
Sr1 0.000 0.000 0.000
Sc1 0.250 0.250 0.250
Nb1 0.000 0.000 0.500

=====

# 8
# Dy9Sn3C2 | Alexandria via LeMat-Bulk | PBE-GGA | optimized geometry
# * DFT total energy: -79.6 eV per cell
# * density of states at the Fermi level: 11.20 states/eV/cell
# * magnetic moment: 0.00 μB per formula unit
data_Dy9Sn3C2
_cell_length_a 6.8961
_cell_length_b 6.8961
_cell_length_c 8.4540
_cell_angle_alpha 90.00
_cell_angle_beta 90.00
_cell_angle_gamma 120.00
_symmetry_space_group_name_H-M 'P -3 m 1'
_symmetry_Int_Tables_number 164
_symmetry_space_group_name_Hall '-P 3 2"'
loop_
_atom_site_label
_atom_site_fract_x
_atom_site_fract_y
_atom_site_fract_z
Dy1 0.0000 0.5000 0.0000
Dy2 0.1694 0.3388 0.6690
Sn1 0.0000 0.0000 0.0000
Sn2 0.3333 0.6667 0.3334
C1 0.3333 0.6667 0.8292

=====

# 9
# Rb2HPtBr6 | Alexandria via LeMat-Bulk | PBE-GGA | optimized geometry
# * DFT total energy: -56.4 eV per cell
# * density of states at the Fermi level: 5.69 states/eV/cell
# * magnetic moment: 0.63 μB per formula unit
data_Rb2HPtBr6
_cell_length_a 7.186
_cell_length_b 7.186
_cell_length_c 11.284
_cell_angle_alpha 90.00
_cell_angle_beta 90.00
_cell_angle_gamma 90.00
_symmetry_space_group_name_H-M 'I 4/m m m'
_symmetry_Int_Tables_number 139
_symmetry_space_group_name_Hall '-I 4 2'
loop_
_atom_site_label
_atom_site_fract_x
_atom_site_fract_y
_atom_site_fract_z
Rb1 0.000 0.500 0.250
H1 0.000 0.000 0.000
Pt1 0.000 0.000 0.500
Br1 0.000 0.000 0.279
Br2 0.248 0.248 0.000

=====

# 10
# AcHPb | Alexandria via LeMat-Bulk | PBE-GGA | optimized geometry
# * E above lowest polymorph: 0.0 meV/atom
# * density of states at the Fermi level: 2.91 states/eV/cell
# * magnetic moment: 0.00 μB per formula unit
data_AcHPb
_cell_length_a 4.701
_cell_length_b 13.112
_cell_length_c 4.715
_cell_angle_alpha 90.00
_cell_angle_beta 90.00
_cell_angle_gamma 90.00
_symmetry_space_group_name_H-M 'C m c m'
_symmetry_Int_Tables_number 63
_symmetry_space_group_name_Hall '-C 2c 2'
loop_
_atom_site_label
_atom_site_fract_x
_atom_site_fract_y
_atom_site_fract_z
Ac1 0.000 0.155 0.250
H1 0.000 0.256 0.750
Pb1 0.000 0.427 0.250

=====

# 11
# Li3Ca2TcO6 | Alexandria via LeMat-Bulk | PBE-GGA | optimized geometry
# * DFT total energy: -150.9 eV per cell
# * density of states at the Fermi level: 14.48 states/eV/cell
# * magnetic moment: 2.00 μB per formula unit
data_Li3Ca2TcO6
_cell_length_a 5.540
_cell_length_b 10.039
_cell_length_c 5.246
_cell_angle_alpha 90.00
_cell_angle_beta 107.74
_cell_angle_gamma 90.00
_symmetry_space_group_name_H-M 'C 1 2/m 1'
_symmetry_Int_Tables_number 12
loop_
_symmetry_equiv_pos_as_xyz
'x,y,z'
'-x,-y,-z'
'-x,y,-z'
'x,-y,z'
'x+1/2,y+1/2,z'
'-x+1/2,-y+1/2,-z'
'-x+1/2,y+1/2,-z'
'x+1/2,-y+1/2,z'
loop_
_atom_site_label
_atom_site_fract_x
_atom_site_fract_y
_atom_site_fract_z
Li1 0.000 0.000 0.000
Li2 0.000 0.376 0.000
Ca1 0.000 0.169 0.500
Tc1 0.000 0.500 0.500
O1 0.208 0.359 0.734
O2 0.235 0.500 0.265

=====

# 12
# MnWBr2 | Alexandria via LeMat-Bulk | PBE-GGA | optimized geometry
# * E above lowest polymorph: 809.8 meV/atom
# * density of states at the Fermi level: 3.02 states/eV/cell
# * magnetic moment: 2.38 μB per formula unit
data_MnWBr2
_cell_length_a 3.092
_cell_length_b 4.472
_cell_length_c 5.883
_cell_angle_alpha 90.00
_cell_angle_beta 90.00
_cell_angle_gamma 90.00
_symmetry_space_group_name_H-M 'P m m m'
_symmetry_Int_Tables_number 47
loop_
_symmetry_equiv_pos_as_xyz
'x,y,z'
'-x,-y,-z'
'-x,-y,z'
'x,y,-z'
'x,-y,-z'
'-x,y,z'
'-x,y,-z'
'x,-y,z'
loop_
_atom_site_label
_atom_site_fract_x
_atom_site_fract_y
_atom_site_fract_z
Mn1 0.000 0.000 0.000
W1 0.500 0.000 0.500
Br1 0.000 0.500 0.500
Br2 0.500 0.500 0.000

=====

| no. | calculated volume (Å³/cell) |
| --- | --- |
| 1 | 214.7 |
| 2 | 125.8 |
| 3 | 196.7 |
| 4 | 99.2 |
| 5 | 71.3 |
| 6 | 546.4 |
| 7 | 405.5 |
| 8 | 348.2 |
| 9 | 582.7 |
| 10 | 290.6 |
| 11 | 277.8 |
| 12 | 81.3 |